# SmDy3Ho6Er2

A relaxed structure of SmDy3Ho6Er2 (PBE-GGA, Alexandria).

## Properties
ΔE_f ... 0.018 eV/atom
Size of the total moment ... 0.00 μB/f.u.

Cell: 6.119 10.588 11.709 Å, 90.00 99.98 90.00°
Space group C2/m (No. 12)
Asymmetric unit:
Sm 0.000 0.000 0.000
Dy 0.000 0.167 0.500
Dy 0.000 0.500 0.500
Ho 0.249 0.333 0.750
Ho 0.250 0.000 0.750
Er 0.000 0.333 0.000

***

# MgRe2RhBr

A relaxed structure of MgRe2RhBr (PBE-GGA, Alexandria).

## Properties
Total DFT energy (no corrections) ... -23.2 eV per cell
Size of the total moment ... 4.87 μB/f.u.

Cell: 4.802 4.802 4.510 Å, 90.00 90.00 90.00°
Space group P4/mmm (No. 123)
Asymmetric unit:
Mg 0.000 0.000 0.000
Re 0.000 0.500 0.000
Rh 0.000 0.000 0.500
Br 0.500 0.500 0.500